Compound: PuThOsPd
Source: Alexandria
Functional: PBE-GGA
Structure: relaxed

```
PuThOsPd
1.0
-1.441 1.255 4.603
-4.143 -1.978 1.941
0.322 -3.319 3.705
Os Pd Th Pu
1 1 1 1
direct
0.500 0.500 0.500
0.000 0.000 0.000
0.250 0.250 0.250
0.750 0.750 0.750
```

Summary:
The formation energy is -0.32 eV per atom. The total magnetization is 5.5 μB/cell. The calculation puts the total energy at -9.8589 eV/atom.